Here is a relaxed structure of VP4O12 from Alexandria. Energies are from PBE with a Hubbard U.

Summary:
The symmetry is C2/c, No. 15. The offset from the most stable computed form comes out at 0.018 eV/atom.

Geometry as POSCAR:
```
VP4O12
1.0
8.3912 -0.1778 0.3222
-2.9415 7.8608 0.3222
1.3330 1.8792 7.3823
O P V
24 8 2
Cartesian
5.6662 5.3100 3.1324
-1.1746 7.3137 2.1677
0.6412 3.8890 7.3503
5.4159 1.1601 1.6404
0.8206 4.9530 0.9525
4.3563 3.3905 2.1677
4.7291 7.3437 2.0017
5.0699 3.3513 4.6437
3.8051 8.0426 6.8236
3.9907 8.6111 4.3675
6.8116 3.1277 2.6951
5.9621 4.6092 7.0741
6.0341 7.8304 5.6929
0.7486 1.7319 2.3338
1.7128 6.2109 3.3830
1.1165 4.2522 4.8942
1.3668 8.4022 6.3862
2.7920 0.9511 3.6591
2.4264 6.1718 5.8589
-0.0289 6.4345 5.3315
2.0536 2.2186 6.0249
7.9573 2.2486 5.8589
2.9776 1.5197 1.2031
6.1415 5.6732 0.6764
0.8926 3.1890 6.0352
2.0482 0.9569 2.3441
1.2998 5.8603 4.7362
4.4348 2.2242 1.0451
5.8901 6.3732 1.9914
4.7345 8.6053 5.6826
5.4829 3.7019 3.2904
2.3479 7.3380 6.9815
7.2228 1.3572 2.1677
-0.4401 8.2050 5.8589
```